Record 1
A relaxed ErTmCN2O2 crystal. Source: OQMD, functional PBE.

Output
Magnetization in μB per cell: 0.004
E in eV/atom: -8.621

Lattice parameters (Å, degrees): 3.6460 3.6460 8.0866 90.00 90.00 120.00
Space group P3m1 (No. 156)
Asymmetric unit:
Er (0.0000, 0.0000, 0.0000) (multiplicity 1)
Tm (0.3333, 0.6667, 0.3524) (multiplicity 1)
C (0.6667, 0.3333, 0.6758) (multiplicity 1)
N (0.6667, 0.3333, 0.5234) (multiplicity 1)
N (0.6667, 0.3333, 0.8285) (multiplicity 1)
O (0.0000, 0.0000, 0.2804) (multiplicity 1)
O (0.3333, 0.6667, 0.0748) (multiplicity 1)

---

Record 2
A relaxed YErCN2O2 crystal. Source: OQMD, functional PBE.

Output
Magnetization in μB per cell: 0.002
E in eV/atom: -8.871

Lattice parameters (Å, degrees): 3.6860 3.6860 8.1293 90.00 90.00 120.00
Space group P3m1 (No. 156)
Asymmetric unit:
Y (0.0000, 0.0000, 0.0000) (multiplicity 1)
Er (0.6667, 0.3333, 0.6458) (multiplicity 1)
C (0.3333, 0.6667, 0.3230) (multiplicity 1)
N (0.3333, 0.6667, 0.1712) (multiplicity 1)
N (0.3333, 0.6667, 0.4747) (multiplicity 1)
O (0.0000, 0.0000, 0.7160) (multiplicity 1)
O (0.6667, 0.3333, 0.9227) (multiplicity 1)

---

Record 3
A relaxed ErNb3C crystal. Source: OQMD, functional PBE.

Output
Magnetization in μB per cell: 0.006
E in eV/atom: -8.814

Lattice parameters (Å, degrees): 4.4562 4.4562 4.4562 90.00 90.00 90.00
Space group Pm-3m (No. 221)
Asymmetric unit:
Er (0.0000, 0.0000, 0.0000) (multiplicity 1)
Nb (0.0000, 0.5000, 0.5000) (multiplicity 3)
C (0.5000, 0.5000, 0.5000) (multiplicity 1)

---

Record 4
A relaxed ErNbCS crystal. Source: OQMD, functional PBE.

Output
Magnetization in μB per cell: 0.000
Energy above the most stable polymorph in this dataset in eV per atom: 0.038
E in eV/atom: -7.996

Lattice parameters (Å, degrees): 3.4869 3.4869 12.1579 90.00 90.00 120.00
Space group P-3m1 (No. 164)
Asymmetric unit:
Er (0.3333, 0.6667, 0.3900) (multiplicity 2)
Nb (0.3333, 0.6667, 0.0852) (multiplicity 2)
C (0.0000, 0.0000, 0.0000) (multiplicity 1)
C (0.0000, 0.0000, 0.5000) (multiplicity 1)
S (0.3333, 0.6667, 0.7720) (multiplicity 2)

---

Record 5
A relaxed ErNb3C2S2 crystal. Source: OQMD, functional PBE.

Output
Magnetization in μB per cell: 0.000
E in eV/atom: -8.589

Lattice parameters (Å, degrees): 3.3747 3.3747 11.9569 90.00 90.00 120.00
Space group P3m1 (No. 156)
Asymmetric unit:
Er (0.0000, 0.0000, 0.0000) (multiplicity 1)
Nb (0.0000, 0.0000, 0.6871) (multiplicity 1)
Nb (0.3333, 0.6667, 0.2100) (multiplicity 1)
Nb (0.3333, 0.6667, 0.5045) (multiplicity 1)
C (0.6667, 0.3333, 0.1164) (multiplicity 1)
C (0.6667, 0.3333, 0.5959) (multiplicity 1)
S (0.0000, 0.0000, 0.3559) (multiplicity 1)
S (0.3333, 0.6667, 0.8340) (multiplicity 1)

---

Record 6
A relaxed ErNbCS crystal. Source: OQMD, functional PBE.

Output
Magnetization in μB per cell: 0.000
Energy above the most stable polymorph in this dataset in eV per atom: 0.000
E in eV/atom: -8.034

Lattice parameters (Å, degrees): 3.4190 3.4190 12.2917 90.00 90.00 120.00
Space group P-6m2 (No. 187)
Asymmetric unit:
Er (0.0000, 0.0000, 0.1552) (multiplicity 2)
Nb (0.3333, 0.6667, 0.3607) (multiplicity 2)
C (0.6667, 0.3333, 0.2687) (multiplicity 2)
S (0.0000, 0.0000, 0.5000) (multiplicity 1)
S (0.3333, 0.6667, 0.0000) (multiplicity 1)

---

Record 7
A relaxed ErNbCSe crystal. Source: OQMD, functional PBE.

Output
Magnetization in μB per cell: 0.002
Energy above the most stable polymorph in this dataset in eV per atom: 0.003
E in eV/atom: -7.719

Lattice parameters (Å, degrees): 3.5341 3.5341 12.5847 90.00 90.00 120.00
Space group P-3m1 (No. 164)
Asymmetric unit:
Er (0.3333, 0.6667, 0.1053) (multiplicity 2)
Nb (0.3333, 0.6667, 0.4189) (multiplicity 2)
C (0.0000, 0.0000, 0.0000) (multiplicity 1)
C (0.0000, 0.0000, 0.5000) (multiplicity 1)
Se (0.3333, 0.6667, 0.7283) (multiplicity 2)

---

Record 8
A relaxed ErNbCSe crystal. Source: OQMD, functional PBE.

Output
Magnetization in μB per cell: 0.001
Energy above the most stable polymorph in this dataset in eV per atom: 0.000
E in eV/atom: -7.722

Lattice parameters (Å, degrees): 3.4749 3.4749 12.7175 90.00 90.00 120.00
Space group P-6m2 (No. 187)
Asymmetric unit:
Er (0.0000, 0.0000, 0.1593) (multiplicity 2)
Nb (0.6667, 0.3333, 0.3540) (multiplicity 2)
C (0.3333, 0.6667, 0.2683) (multiplicity 2)
Se (0.0000, 0.0000, 0.5000) (multiplicity 1)
Se (0.6667, 0.3333, 0.0000) (multiplicity 1)